VASP calculation (PBE) on a relaxed structure of ScGaP2S.

```
5
Lattice="4.992 0.000 0.000 0.000 4.992 0.000 0.000 0.000 4.913" Properties=species:S:1:pos:R:3 pbc="T T T"
Sc 0.000 0.000 0.000
P 2.496 0.000 0.000
Ga 2.496 2.496 2.457
S 0.000 0.000 2.457
P 0.000 2.496 0.000
```

For the uncorrected energy, the calculation gives -4.720 eV per atom. As for the relative energy among the computed polymorphs: 0 meV per atom. The value obtained for the formation energy (no corrections) is 0.141 eV/atom. Its crystal system is tetragonal. The symmetry is P4/mmm (123).